Record 1
SmEr6Zn after structural relaxation, computed with PBE.

The space group is R-3 (No. 148, hexagonal axes) and the conventional cell measures 9.2177, 9.2177 and 9.6266 Å, with angles of 90.00, 90.00 and 120.00 degrees. The asymmetric unit holds Sm at (0.0000, 0.0000, 0.0000), Er at (0.0308, 0.7807, 0.7046) and Zn at (0.0000, 0.0000, 0.5000).

The size of the total moment is 0.00 μB/f.u. As for the formation energy: 48 meV per atom. The calculation puts the final energy at -4.12 eV/atom.

Record 2
Sm3ErZn4 after structural relaxation, computed with PBE.

The space group is R-3m (No. 166, hexagonal axes) and the conventional cell measures 5.1045, 5.1045 and 25.1138 Å, with angles of 90.00, 90.00 and 120.00 degrees. The asymmetric unit holds Sm at (0.0000, 0.0000, 0.0000), Sm at (0.0000, 0.0000, 0.2487), Er at (0.0000, 0.0000, 0.5000), Zn at (0.0000, 0.0000, 0.1262) and Zn at (0.0000, 0.0000, 0.3765).

The size of the total moment is 0.00 μB/f.u. As for the formation energy: -323 meV per atom. The calculation puts the final energy at -3.30 eV/atom.

Record 3
SmErZn4 after structural relaxation, computed with PBE.

The space group is F-43m (No. 216) and the conventional cell measures 7.751, 7.751 and 7.751 Å, with angles of 90.00, 90.00 and 90.00 degrees. The asymmetric unit holds Sm at (0.000, 0.000, 0.000), Er at (0.250, 0.250, 0.750) and Zn at (0.125, 0.125, 0.375).

For the offset from the most stable computed form, the calculation gives 35 meV/atom. The size of the total moment is 0.00 μB/f.u. As for the formation energy: -329 meV per atom. The calculation puts the final energy at -2.73 eV/atom.

Q: Which of these has the lowest final energy?
A: SmEr6Zn